(1)
{"formula": "NiHC2N", "functional": "PBE-GGA", "state": "optimized geometry", "m_tot_mub_per_fu": 0.00, "spacegroup": "P4/mmm (123)", "energy_ev_per_atom": -5.406, "lattice_angstrom": [[3.625, 0.000, 0.000], [0.000, 2.432, 0.000], [0.000, 0.000, 3.625]], "species": ["Ni", "C", "C", "H", "N"], "frac_coords": [[0.500, 0.500, 0.500], [0.000, 0.000, 0.500], [0.500, 0.000, 0.000], [0.000, 0.500, 0.000], [0.000, 0.000, 0.000]]}

***

(2)
{"formula": "SrCdW2", "functional": "PBE-GGA", "state": "optimized geometry", "m_tot_mub_per_fu": 0.00, "formation_energy_kj_per_mol_fu": 446, "spacegroup": "R-3m (166)", "energy_ev_per_atom": -5.971, "lattice_angstrom": [[10.879, -0.013, -0.008], [10.484, 2.907, -0.008], [10.484, 1.420, 2.536]], "species": ["Cd", "Sr", "W", "W"], "frac_coords": [[0.250, 0.250, 0.250], [0.750, 0.750, 0.750], [0.993, 0.993, 0.993], [0.507, 0.507, 0.507]]}